[1]
# CrOs4Ru

A relaxed structure of CrOs4Ru (GGA-PBE, Alexandria via LeMat-Bulk).

The structure in CIF format:
```
data_CrOs4Ru
_cell_length_a 4.867
_cell_length_b 6.876
_cell_length_c 6.531
_cell_angle_alpha 120.96
_cell_angle_beta 114.86
_cell_angle_gamma 83.39
_space_group_name_H-M_alt 'P 1'
_space_group_IT_number 1
loop_
_space_group_symop_operation_xyz
'x,y,z'
loop_
_atom_site_label
_atom_site_fract_x
_atom_site_fract_y
_atom_site_fract_z
Os1 0.520 0.023 0.819
Os2 0.071 0.282 0.119
Os3 0.929 0.718 0.881
Os4 0.288 0.713 0.312
Ru1 0.903 0.885 0.587
Ru2 0.097 0.115 0.413
Os5 0.692 0.416 0.354
Os6 0.712 0.287 0.688
Os7 0.480 0.977 0.181
Os8 0.308 0.584 0.646
Cr1 0.702 0.624 0.104
Cr2 0.298 0.376 0.896
```

energy above the lowest structure with this stoichiometry: 0.00 kcal/mol of atoms
final energy: -10.45 eV per atom
space-group type: P-1

[2]
# Pa2AlSi

A relaxed structure of Pa2AlSi (GGA-PBE, Alexandria via LeMat-Bulk).

The structure in CIF format:
```
data_Pa2AlSi
_cell_length_a 3.155
_cell_length_b 3.155
_cell_length_c 8.444
_cell_angle_alpha 90.00
_cell_angle_beta 90.00
_cell_angle_gamma 90.00
_space_group_name_H-M_alt 'P 1'
_space_group_IT_number 1
loop_
_space_group_symop_operation_xyz
'x,y,z'
loop_
_atom_site_label
_atom_site_fract_x
_atom_site_fract_y
_atom_site_fract_z
Al1 0.500 0.500 0.500
Si1 0.500 0.500 0.000
Pa1 0.000 0.000 0.239
Pa2 0.000 0.000 0.761
```

energy above the lowest structure with this stoichiometry: 0.37 kcal/mol of atoms
final energy: -7.27 eV per atom
formation energy without anion corrections: -0.226 eV per atom
space-group type: P4/mmm

[3]
# CaS8

A relaxed structure of CaS8 (GGA-PBE, Alexandria via LeMat-Bulk).

The structure in CIF format:
```
data_CaS8
_cell_length_a 7.254
_cell_length_b 7.254
_cell_length_c 7.254
_cell_angle_alpha 113.69
_cell_angle_beta 107.41
_cell_angle_gamma 107.41
_space_group_name_H-M_alt 'P 1'
_space_group_IT_number 1
loop_
_space_group_symop_operation_xyz
'x,y,z'
loop_
_atom_site_label
_atom_site_fract_x
_atom_site_fract_y
_atom_site_fract_z
Ca1 0.000 0.000 0.000
S1 0.315 0.315 0.000
S2 0.685 0.000 0.685
S3 0.000 0.748 0.252
S4 0.496 0.748 0.748
S5 0.685 0.685 0.000
S6 0.504 0.252 0.252
S7 0.000 0.252 0.748
S8 0.315 0.000 0.315
```

final energy: -3.62 eV per atom
formation energy without anion corrections: 0.270 eV per atom
space-group type: I4/mmm

[4]
# CdCuRu2

A relaxed structure of CdCuRu2 (GGA-PBE, Alexandria via LeMat-Bulk).

The structure in CIF format:
```
data_CdCuRu2
_cell_length_a 5.011
_cell_length_b 5.011
_cell_length_c 5.011
_cell_angle_alpha 135.34
_cell_angle_beta 135.34
_cell_angle_gamma 65.00
_space_group_name_H-M_alt 'P 1'
_space_group_IT_number 1
loop_
_space_group_symop_operation_xyz
'x,y,z'
loop_
_atom_site_label
_atom_site_fract_x
_atom_site_fract_y
_atom_site_fract_z
Cu1 0.750 0.250 0.500
Cd1 0.250 0.750 0.500
Ru1 0.000 0.000 0.000
Ru2 0.500 0.500 0.000
```

final energy: -5.42 eV per atom
space-group type: I4/mmm